Density functional theory data (PBE-GGA) for an optimized crystal structure of KSm2Te6Pb3.

## Properties
* uncorrected formation energy: -80.2 kJ per mole of atoms
* V: 35.02 A^3/atom
* magnetic moment: 0.00 μB per formula unit
* crystal system: monoclinic

Structure (extended XYZ):
```
12
Lattice="10.0822 -2.2655 0.0000 10.0822 2.2655 0.0000 -2.2685 0.0000 9.2001" Properties=species:S:1:pos:R:3 pbc="T T T"
K 0.0000 0.0000 0.0000
Sm 5.2037 0.0000 5.9921
Sm 12.6923 0.0000 3.2080
Te 2.0817 0.0000 5.4077
Te 3.3545 0.0000 1.0368
Te 8.2248 0.0000 6.7433
Te 9.6711 0.0000 2.4568
Te 14.5414 0.0000 8.1633
Te 15.8143 0.0000 3.7924
Pb -1.1342 0.0000 4.6001
Pb 6.5892 0.0000 1.3696
Pb 11.3068 0.0000 7.8305
```

Density functional theory data (PBE-GGA) for an optimized crystal structure of Mn2As2Pb.

## Properties
* E above lowest polymorph: 0.000 eV per atom
* V: 19.13 A^3/atom
* ΔH_f (0 K): 0.02 eV/atom
* magnetic moment: 5.74 μB per formula unit
* crystal system: tetragonal

Structure (extended XYZ):
```
5
Lattice="-2.2030 2.2030 4.9278 2.2030 -2.2030 4.9278 2.2030 2.2030 -4.9278" Properties=species:S:1:pos:R:3 pbc="T T T"
Mn 2.2030 0.0000 2.4639
Mn 0.0000 2.2030 2.4639
As 0.0000 0.0000 1.3402
As 0.0000 0.0000 8.5153
Pb 0.0000 0.0000 4.9278
```

Calculated DOS at the Fermi energy in order - 4.07; 4.02 states/eV/cell
Calculated energy in order - -50.5; -31.3 eV per cell